The following is a GGA-PBE calculation of a relaxed TaSi2Rh crystal, from Alexandria via LeMat-Bulk.

The structure in POSCAR format:
```
TaSi2Rh
1.0
4.382 0.000 0.000
0.000 4.382 0.000
0.000 0.000 2.985
Ta Si Rh
1 2 1
Direct
0.000 0.000 0.000
0.000 0.500 0.500
0.500 0.000 0.500
0.500 0.500 0.000
```

Properties
The formation energy without anion corrections is -0.44 eV/atom. The value obtained for the magnetization is 0.00 μB/f.u. As for the energy: -7.953 eV/atom. The density is 9.853 g/cm3. The density of states at the Fermi level comes out at 2.0 states/eV/f.u.